Compound: U2Si4Ir3Rh
Source: Alexandria
Functional: PBE-GGA
Structure: optimized geometry

Cell lengths 4.1117, 4.1117, 9.8946 Å; angles 90.00, 90.00, 90.00 degrees
Fractional coordinates of all 10 atoms:
U1 0.0000 0.5000 0.2429
U2 0.5000 0.0000 0.7571
Si1 0.0000 0.0000 0.0000
Si2 0.0000 0.5000 0.6311
Si3 0.5000 0.0000 0.3689
Si4 0.5000 0.5000 0.0000
Ir1 0.0000 0.5000 0.8709
Ir2 0.5000 0.0000 0.1291
Ir3 0.5000 0.5000 0.5000
Rh1 0.0000 0.0000 0.5000

Properties
M_tot, μB/f.u.: 3.57
Raw formation energy, eV per atom: -0.80
V, Å³/atom: 16.73

=====

Compound: TaNbIr
Source: Alexandria
Functional: PBE-GGA
Structure: optimized geometry

Cell lengths 4.7202, 4.7202, 5.3276 Å; angles 90.00, 90.00, 120.00 degrees
Fractional coordinates of all 6 atoms:
Ta1 0.3333 0.6667 0.2500
Ta2 0.6667 0.3333 0.7500
Nb1 0.0000 0.0000 0.0000
Nb2 0.0000 0.0000 0.5000
Ir1 0.3333 0.6667 0.7500
Ir2 0.6667 0.3333 0.2500

Properties
M_tot, μB/f.u.: 0.00
ΔH_f (0 K), eV/atom: -0.32
Energy above the most stable polymorph in this dataset, eV per atom: 0.000
V, Å³/atom: 17.13